5
Lattice="4.106 0.000 0.000 0.000 4.106 0.000 -2.053 -2.053 5.081" Properties=species:S:1:pos:R:3 comment="PrSi2TcNi, optimized geometry, DFT PBE" total_magnetization_mub_per_fu=0.000 raw_formation_energy_kj_per_mol_atoms=-67.6 rho_g_cm3=6.86 total_energy_ev_per_fu=-35.3 dos_ef_per_ev_atom=0.6292 pbc="T T T"
Pr 0.000 0.000 0.000
Tc 2.053 0.000 2.540
Si 0.000 0.000 3.761
Si 2.053 2.053 1.319
Ni 0.000 2.053 2.540



6
Lattice="-1.170 -3.194 -2.216 -0.980 0.209 3.934 -7.078 3.962 -1.973" Properties=species:S:1:pos:R:3 comment="PrThSi2Ni2, optimized geometry, DFT PBE" total_magnetization_mub_per_fu=0.000 raw_formation_energy_kj_per_mol_atoms=-73.1 rho_g_cm3=7.62 total_energy_ev_per_fu=-39.2 dos_ef_per_ev_atom=0.9550 pbc="T T T"
Ni -6.332 0.865 -1.623
Pr 0.000 0.000 0.000
Si -6.336 2.037 0.409
Th -3.539 1.981 -0.986
Ni -2.895 0.111 1.368
Si -2.891 -1.061 -0.663



6
Lattice="4.163 0.000 0.000 -2.082 3.606 0.000 0.000 0.000 7.340" Properties=species:S:1:pos:R:3 comment="PrTmSi2Ni2, optimized geometry, DFT PBE" total_magnetization_mub_per_fu=0.000 raw_formation_energy_kj_per_mol_atoms=-71.7 rho_g_cm3=7.28 total_energy_ev_per_fu=-36.1 dos_ef_per_ev_atom=0.8864 pbc="T T T"
Si 2.082 1.202 5.310
Pr 0.000 0.000 0.000
Ni 2.082 1.202 2.158
Tm 0.000 0.000 3.670
Si 0.000 2.404 2.030
Ni 0.000 2.404 5.182



18
Lattice="6.139 -1.445 -1.025 1.776 6.052 -1.025 1.776 1.033 6.050" Properties=species:S:1:pos:R:3 comment="Pr2TmSi3Ni12, optimized geometry, DFT PBE" total_magnetization_mub_per_fu=0.000 raw_formation_energy_kj_per_mol_atoms=-14.9 rho_g_cm3=7.96 total_energy_ev_per_fu=-102.5 dos_ef_per_ev_atom=0.6872 pbc="T T T"
Ni 2.734 4.118 0.244
Ni 4.620 5.367 0.969
Ni 5.070 0.273 3.031
Ni 6.956 4.049 0.194
Si 3.070 -0.722 -0.512
Pr 3.401 1.980 1.404
Ni 4.759 5.297 3.757
Ni 6.949 1.367 0.969
Ni 5.070 2.951 -0.744
Ni 6.956 1.522 3.757
Tm 0.000 0.000 0.000
Ni 2.741 4.274 3.031
Ni 4.932 0.344 0.244
Si 0.888 3.026 -0.512
Si 0.888 0.517 3.025
Ni 4.620 2.689 4.745
Pr 6.289 3.661 2.596
Ni 2.734 1.592 3.806